The following is a PBE calculation of crystalline Pr2Ga3Ni4Sn at its relaxed geometry, from Alexandria via LeMat-Bulk.

Unit cell a=4.296 b=4.296 c=9.816 alpha=90.00 beta=90.00 gamma=90.00
Atoms (fractional coordinates):
Ni1 0.500 0.500 0.000
Ni2 0.500 0.000 0.640
Ni3 0.000 0.500 0.360
Ni4 0.000 0.000 0.000
Sn1 0.500 0.500 0.500
Pr1 0.000 0.500 0.762
Pr2 0.500 0.000 0.238
Ga1 0.500 0.000 0.885
Ga2 0.000 0.000 0.500
Ga3 0.000 0.500 0.115

Results
Its space-group type is No. 115. Its volume is 181.2 Å³/f.u. Its formation energy is -0.536 eV/atom.